(1)
Density functional theory data (PBE) for a relaxed structure of AgSn4.

```
10
Lattice="0.545 3.012 -5.006 4.933 -3.528 -1.683 -7.141 -4.271 0.321" Properties=species:S:1:pos:R:3 pbc="T T T"
Ag -1.754 -5.515 -5.096
Ag 0.091 0.728 -1.271
Sn -2.175 0.497 -3.322
Sn -0.714 -2.270 -1.371
Sn -2.830 -4.172 -2.690
Sn -4.024 -1.616 -4.710
Sn 1.167 -0.615 -3.678
Sn 2.361 -3.171 -1.657
Sn -0.949 -2.517 -4.996
Sn 0.512 -5.284 -3.046
```

Values from the calculation:
DFT formation energy (meV/atom): 55
SG: P-1, No. 2
Crystal system: triclinic
Raw total energy (eV/cell): -37.17


(2)
Density functional theory data (PBE) for a relaxed structure of SrLa3Ir.

```
10
Lattice="6.857 0.029 -0.003 -5.583 13.425 -0.008 -0.001 0.661 4.152" Properties=species:S:1:pos:R:3 pbc="T T T"
Sr -2.030 8.611 1.804
Sr 2.989 5.195 2.350
Ir -0.693 13.745 3.116
Ir 0.494 6.909 2.076
La 0.277 2.027 2.853
La -3.131 12.260 3.350
La 0.479 11.888 1.283
La 1.410 8.839 3.898
La 3.702 1.492 0.809
La -0.394 4.979 0.255
```

Values from the calculation:
DFT formation energy (meV/atom): -315
SG: Cm, No. 8
Crystal system: monoclinic
Relative energy among the computed polymorphs (meV per atom): 8
Raw total energy (eV/cell): -53.80


Q: What is the raw total energy in the first record?
A: -37.17 eV/cell